[1]
# FeSiGe, optimized geometry, DFT PBE
# E   -74.0 eV/cell
# Magnetization   0.00 μB per atom
data_FeSiGe
_chemical_formula_sum 'Fe4 Si4 Ge4'
_symmetry_space_group_name_H-M 'P n m a'
_symmetry_Int_Tables_number 62
_symmetry_space_group_name_Hall '-P 2ac 2n'
_cell_length_a 5.492
_cell_length_b 2.777
_cell_length_c 10.660
_cell_angle_alpha 90.00
_cell_angle_beta 90.00
_cell_angle_gamma 90.00
loop_
_atom_site_label
_atom_site_type_symbol
_atom_site_fract_x
_atom_site_fract_y
_atom_site_fract_z
Fe1 Fe 0.002 0.250 0.228
Si1 Si 0.221 0.250 0.626
Ge1 Ge 0.241 0.750 0.403

***

[2]
# DyHO, optimized geometry, DFT PBE
# E   -79.2 eV/cell
# Magnetization   0.00 μB per atom
data_DyHO
_chemical_formula_sum 'Dy4 H4 O4'
_symmetry_space_group_name_H-M 'F -4 3 m'
_symmetry_Int_Tables_number 216
_symmetry_space_group_name_Hall 'F -4 2 3'
_cell_length_a 5.269
_cell_length_b 5.269
_cell_length_c 5.269
_cell_angle_alpha 90.00
_cell_angle_beta 90.00
_cell_angle_gamma 90.00
loop_
_atom_site_label
_atom_site_type_symbol
_atom_site_fract_x
_atom_site_fract_y
_atom_site_fract_z
Dy1 Dy 0.000 0.000 0.000
H1 H 0.250 0.250 0.750
O1 O 0.250 0.250 0.250

***

[3]
# KRb2TcF6, optimized geometry, DFT PBE
# E   -97.1 eV/cell
# Magnetization   0.20 μB per atom
data_KRb2TcF6
_chemical_formula_sum 'K2 Rb4 Tc2 F12'
_symmetry_space_group_name_H-M 'C 1 2/m 1'
_symmetry_Int_Tables_number 12
_symmetry_space_group_name_Hall '-C 2y'
_cell_length_a 10.592
_cell_length_b 6.143
_cell_length_c 6.152
_cell_angle_alpha 90.00
_cell_angle_beta 124.93
_cell_angle_gamma 90.00
loop_
_atom_site_label
_atom_site_type_symbol
_atom_site_fract_x
_atom_site_fract_y
_atom_site_fract_z
K1 K 0.000 0.000 0.000
Rb1 Rb 0.250 0.000 0.749
Tc1 Tc 0.000 0.500 0.500
F1 F 0.000 0.270 0.269
F2 F 0.230 0.500 0.732

***

Question: What is the formula in the third record?
Answer: KRb2TcF6

***

Question: Which of these has the lowest E?
Answer: KRb2TcF6

***

Question: What is the E in the second record?
Answer: -79.2 eV/cell

***

Question: Look up the magnetization of the first one.
Answer: 0.00 μB per atom